{
  "formula": "Cd8GaAg6",
  "functional": "GGA-PBE",
  "state": "optimized geometry",
  "space_group": "No. 147",
  "energy_ev_per_atom": -1.847,
  "cell": [[5.753, 0.000, 0.000], [0.000, 6.970, -4.024], [0.000, 0.000, 8.049]],
  "species": ["Cd", "Cd", "Cd", "Cd", "Cd", "Cd", "Cd", "Cd", "Ga", "Ag", "Ag", "Ag", "Ag", "Ag", "Ag"],
  "frac_coords": [[0.866, 0.000, 0.340], [0.866, 0.660, 0.660], [0.866, 0.340, 0.000], [0.134, 0.000, 0.660], [0.134, 0.340, 0.340], [0.134, 0.660, 0.000], [0.501, 0.333, 0.667], [0.499, 0.667, 0.333], [0.500, 0.000, 0.000], [0.640, 0.679, 0.000], [0.640, 0.000, 0.679], [0.640, 0.321, 0.321], [0.360, 0.321, 0.000], [0.360, 0.000, 0.321], [0.360, 0.679, 0.679]]
}